(1)
CaSc4Pb, PBEsol geometry, DFT meta-GGA SCAN; energy relative to the elements = 0.10 eV/atom; calculated total energy = -23.63 eV per atom
1.0
0.000 4.272 4.272
4.272 0.000 4.272
4.272 4.272 0.000
Ca Sc Pb
1 4 1
Direct
0.000 0.000 0.000 Ca
0.124 0.625 0.625 Sc
0.625 0.124 0.625 Sc
0.625 0.625 0.124 Sc
0.625 0.625 0.625 Sc
0.250 0.250 0.250 Pb


(2)
HfZn, PBEsol geometry, DFT meta-GGA SCAN; energy relative to the elements = -0.28 eV/atom; calculated total energy = -38.37 eV per atom
1.0
3.252 0.000 0.000
0.000 3.252 0.000
0.000 0.000 3.252
Hf Zn
1 1
Direct
0.000 0.000 0.000 Hf
0.500 0.500 0.500 Zn


(3)
CaMn4, PBEsol geometry, DFT meta-GGA SCAN; energy relative to the elements = 0.28 eV/atom; calculated total energy = -16.26 eV per atom
1.0
3.925 0.000 0.000
0.000 3.925 0.000
0.000 0.000 9.105
Ca Mn
2 8
Direct
0.000 0.000 0.000 Ca
0.500 0.500 0.500 Ca
0.000 0.000 0.372 Mn
0.000 0.000 0.628 Mn
0.000 0.500 0.250 Mn
0.000 0.500 0.750 Mn
0.500 0.000 0.250 Mn
0.500 0.000 0.750 Mn
0.500 0.500 0.128 Mn
0.500 0.500 0.872 Mn


(4)
B2MoI, PBEsol geometry, DFT meta-GGA SCAN; ΔE_f (raw) = 2.00 eV/atom; calculated total energy = -19.62 eV per atom
1.0
5.910 0.000 0.000
0.000 5.910 0.000
0.000 0.000 5.910
B Mo I
8 4 4
Direct
0.250 0.250 0.250 B
0.250 0.250 0.750 B
0.250 0.750 0.250 B
0.250 0.750 0.750 B
0.750 0.250 0.250 B
0.750 0.250 0.750 B
0.750 0.750 0.250 B
0.750 0.750 0.750 B
0.000 0.000 0.000 Mo
0.000 0.500 0.500 Mo
0.500 0.000 0.500 Mo
0.500 0.500 0.000 Mo
0.000 0.000 0.500 I
0.000 0.500 0.000 I
0.500 0.000 0.000 I
0.500 0.500 0.500 I


(5)
Sc2S2N, PBEsol geometry, DFT meta-GGA SCAN; ΔE_f (raw) = -0.50 eV/atom; calculated total energy = -11.90 eV per atom
1.0
3.348 0.000 0.000
0.000 3.348 0.000
0.000 0.000 12.970
Sc S N
4 4 2
Direct
0.000 0.000 0.100 Sc
0.000 0.000 0.900 Sc
0.500 0.500 0.400 Sc
0.500 0.500 0.600 Sc
0.000 0.500 0.250 S
0.000 0.500 0.750 S
0.500 0.000 0.250 S
0.500 0.000 0.750 S
0.000 0.000 0.500 N
0.500 0.500 0.000 N


(6)
YZn2Ru, PBEsol geometry, DFT meta-GGA SCAN; energy relative to the elements = -0.19 eV/atom; calculated total energy = -22.62 eV per atom
1.0
6.406 0.000 0.000
0.000 6.406 0.000
0.000 0.000 6.406
Y Zn Ru
4 8 4
Direct
0.000 0.000 0.000 Y
0.000 0.500 0.500 Y
0.500 0.000 0.500 Y
0.500 0.500 0.000 Y
0.250 0.250 0.250 Zn
0.250 0.250 0.750 Zn
0.250 0.750 0.250 Zn
0.250 0.750 0.750 Zn
0.750 0.250 0.250 Zn
0.750 0.250 0.750 Zn
0.750 0.750 0.250 Zn
0.750 0.750 0.750 Zn
0.000 0.000 0.500 Ru
0.000 0.500 0.000 Ru
0.500 0.000 0.000 Ru
0.500 0.500 0.500 Ru


(7)
Na2Pr4Cl9O2, PBEsol geometry, DFT meta-GGA SCAN; ΔE_f (raw) = -2.66 eV/atom; calculated total energy = -18.31 eV per atom
1.0
8.158 0.000 0.000
0.000 11.369 0.000
-2.654 0.000 8.838
Na Pr Cl O
4 8 18 4
Direct
0.226 0.014 0.432 Na
0.226 0.486 0.432 Na
0.774 0.514 0.568 Na
0.774 0.986 0.568 Na
0.277 0.547 0.954 Pr
0.277 0.953 0.954 Pr
0.372 0.250 0.779 Pr
0.389 0.250 0.166 Pr
0.611 0.750 0.834 Pr
0.628 0.750 0.221 Pr
0.723 0.047 0.046 Pr
0.723 0.453 0.046 Pr
0.100 0.081 0.685 Cl
0.100 0.419 0.685 Cl
0.103 0.096 0.122 Cl
0.103 0.404 0.122 Cl
0.240 0.750 0.753 Cl
0.258 0.750 0.140 Cl
0.326 0.250 0.459 Cl
0.497 0.002 0.297 Cl
0.497 0.498 0.297 Cl
0.503 0.502 0.703 Cl
0.503 0.998 0.703 Cl
0.674 0.750 0.541 Cl
0.742 0.250 0.860 Cl
0.760 0.250 0.247 Cl
0.897 0.596 0.878 Cl
0.897 0.904 0.878 Cl
0.900 0.581 0.315 Cl
0.900 0.919 0.315 Cl
0.447 0.120 0.986 O
0.447 0.380 0.986 O
0.553 0.620 0.014 O
0.553 0.880 0.014 O


(8)
SrLi2Hg, PBEsol geometry, DFT meta-GGA SCAN; energy relative to the elements = -0.28 eV/atom; calculated total energy = -24.09 eV per atom
1.0
7.449 0.000 0.000
0.000 7.449 0.000
0.000 0.000 7.449
Sr Li Hg
4 8 4
Direct
0.000 0.000 0.000 Sr
0.000 0.500 0.500 Sr
0.500 0.000 0.500 Sr
0.500 0.500 0.000 Sr
0.000 0.000 0.500 Li
0.000 0.500 0.000 Li
0.250 0.250 0.750 Li
0.250 0.750 0.250 Li
0.500 0.000 0.000 Li
0.500 0.500 0.500 Li
0.750 0.250 0.250 Li
0.750 0.750 0.750 Li
0.250 0.250 0.250 Hg
0.250 0.750 0.750 Hg
0.750 0.250 0.750 Hg
0.750 0.750 0.250 Hg


(9)
Na2SiF, PBEsol geometry, DFT meta-GGA SCAN; ΔE_f (raw) = -0.89 eV/atom; calculated total energy = -6.39 eV per atom
1.0
6.509 0.000 0.000
0.000 6.509 0.000
0.000 0.000 7.816
Na Si F
8 4 4
Direct
0.143 0.750 0.125 Na
0.250 0.143 0.875 Na
0.250 0.357 0.375 Na
0.357 0.750 0.625 Na
0.643 0.250 0.625 Na
0.750 0.643 0.375 Na
0.750 0.857 0.875 Na
0.857 0.250 0.125 Na
0.000 0.000 0.500 Si
0.000 0.500 0.750 Si
0.500 0.000 0.250 Si
0.500 0.500 0.000 Si
0.000 0.000 0.000 F
0.000 0.500 0.250 F
0.500 0.000 0.750 F
0.500 0.500 0.500 F


(10)
Li2Pd2Pb, PBEsol geometry, DFT meta-GGA SCAN; energy relative to the elements = -0.36 eV/atom; calculated total energy = -29.58 eV per atom
1.0
7.218 0.000 0.000
0.000 7.218 0.000
0.000 0.000 3.073
Li Pd Pb
4 4 2
Direct
0.155 0.345 0.000 Li
0.345 0.845 0.000 Li
0.655 0.155 0.000 Li
0.845 0.655 0.000 Li
0.139 0.639 0.500 Pd
0.361 0.139 0.500 Pd
0.639 0.861 0.500 Pd
0.861 0.361 0.500 Pd
0.000 0.000 0.500 Pb
0.500 0.500 0.500 Pb


Q: Look up the calculated total energy of the fourth one.
A: -19.62 eV per atom